{
  "formula": "GdCdNiRh",
  "functional": "GGA-PBE",
  "state": "relaxed",
  "lattice": [[4.688, 0.000, 0.000], [2.344, 4.060, 0.000], [2.344, 1.353, 3.828]],
  "species": ["Ni", "Gd", "Rh", "Cd"],
  "fractional_positions": [[0.000, 0.000, 0.000], [0.250, 0.250, 0.250], [0.500, 0.500, 0.500], [0.750, 0.750, 0.750]],
  "total_magnetization_mub_per_fu": 7.15,
  "total_energy_ev_per_cell": -29.5,
  "dos_at_fermi_per_ev_atom": 0.71
}



{
  "formula": "LiPrTm2Au4",
  "functional": "GGA-PBE",
  "state": "relaxed",
  "lattice": [[4.944, 0.000, 0.000], [2.472, 4.281, 0.000], [2.472, 1.427, 8.475]],
  "species": ["Li", "Pr", "Tm", "Tm", "Au", "Au", "Au", "Au"],
  "fractional_positions": [[0.500, 0.500, 0.500], [0.000, 0.000, 0.000], [0.762, 0.762, 0.713], [0.238, 0.238, 0.287], [0.392, 0.392, 0.824], [0.878, 0.878, 0.367], [0.122, 0.122, 0.633], [0.608, 0.608, 0.176]],
  "total_magnetization_mub_per_fu": 0.00,
  "total_energy_ev_per_cell": -34.8,
  "dos_at_fermi_per_ev_atom": 0.46
}